[1]
A plane-wave DFT calculation with PBE-GGA was carried out for a relaxed structure of Tm4SiBiC.

a = 4.6893 Å, b = 4.6893 Å, c = 8.3367 Å
α = 106.33°, β = 106.33°, γ = 90.00°
Positions (direct):
Tm (0.8424, 0.8424, 0.6848)
Si (0.3631, 0.3631, 0.7262)
Tm (0.4926, 0.9926, 0.9852)
Bi (0.6431, 0.6431, 0.2862)
C (0.0038, 0.0038, 0.0076)
Tm (0.1623, 0.1623, 0.3247)
Tm (0.9926, 0.4926, 0.9852)

* energy relative to the elements, uncorrected: -4.14 eV/f.u.
* symmetry: I4mm (107)
* total DFT energy (no corrections): -5.79 eV/atom
* crystal system: tetragonal

---

[2]
A plane-wave DFT calculation with PBE-GGA was carried out for a relaxed structure of VSi2BiC.

a = 5.3329 Å, b = 4.2698 Å, c = 5.3329 Å
α = 90.00°, β = 90.00°, γ = 90.00°
Each line ends with the local moment (μB).
Positions (direct):
V (0.5000, 0.5000, 0.5000)  -0.12
Si (0.5000, 0.0000, 0.0000)  0.00
Si (0.0000, 0.0000, 0.5000)  0.00
Bi (0.0000, 0.0000, 0.0000)  -0.01
C (0.0000, 0.5000, 0.0000)  0.18

* energy relative to the elements, uncorrected: 12.92 eV/f.u.
* symmetry: P4/mmm (123)
* total DFT energy (no corrections): -4.03 eV/atom
* crystal system: tetragonal

---

[3]
A plane-wave DFT calculation with PBE-GGA was carried out for a relaxed structure of Y4SiBiC.

a = 6.7470 Å, b = 6.7639 Å, c = 8.4700 Å
α = 90.00°, β = 113.47°, γ = 90.00°
Positions (direct):
C (0.2458, 0.7500, 0.4916)
Bi (0.3959, 0.2500, 0.7919)
C (0.7542, 0.2500, 0.5084)
Y (0.5000, 0.0000, 0.5000)
Y (0.0821, 0.7500, 0.1642)
Y (0.5951, 0.2500, 0.1901)
Y (0.4049, 0.7500, 0.8099)
Si (0.8847, 0.7500, 0.7694)
Y (0.5000, 0.5000, 0.5000)
Bi (0.6041, 0.7500, 0.2081)
Y (0.0000, 0.5000, 0.5000)
Y (0.9179, 0.2500, 0.8358)
Si (0.1153, 0.2500, 0.2306)
Y (0.0000, 0.0000, 0.5000)

* energy relative to the elements, uncorrected: -4.18 eV/f.u.
* symmetry: Cmcm (63)
* total DFT energy (no corrections): -6.94 eV/atom
* crystal system: orthorhombic

---

[4]
A plane-wave DFT calculation with PBE-GGA was carried out for a relaxed structure of Sm2BiC2.

a = 4.6366 Å, b = 6.3999 Å, c = 7.8339 Å
α = 89.94°, β = 107.21°, γ = 90.00°
Positions (direct):
Bi (0.2226, 0.2500, 0.0000)
Bi (0.7774, 0.7500, 0.0000)
C (0.1193, 0.5229, 0.4732)
Sm (0.5722, 0.3145, 0.6913)
C (0.8807, 0.4771, 0.5268)
Sm (0.8809, 0.1855, 0.3087)
C (0.3539, 0.0229, 0.4732)
Sm (0.1191, 0.8145, 0.6913)
Sm (0.4278, 0.6855, 0.3087)
C (0.6461, 0.9771, 0.5268)

* symmetry: C2/c (15)
* total DFT energy (no corrections): -6.77 eV/atom
* crystal system: monoclinic
* ΔE_f: -417 meV/atom

---

[5]
A plane-wave DFT calculation with PBE-GGA was carried out for a relaxed structure of Sm3BiC.

a = 5.0531 Å, b = 5.0531 Å, c = 5.0531 Å
α = 90.00°, β = 90.00°, γ = 90.00°
Positions (direct):
Sm (0.0000, 0.0000, 0.5000)
Sm (0.5000, 0.0000, 0.0000)
Sm (0.0000, 0.5000, 0.0000)
Bi (0.5000, 0.5000, 0.5000)
C (0.0000, 0.0000, 0.0000)

* symmetry: Pm-3m (221)
* total DFT energy (no corrections): -5.93 eV/atom
* crystal system: cubic
* ΔE_f: -481 meV/atom

---

[6]
A plane-wave DFT calculation with PBE-GGA was carried out for a relaxed structure of Sm6BiC3.

a = 3.7281 Å, b = 10.4118 Å, c = 12.7318 Å
α = 103.82°, β = 90.00°, γ = 90.00°
Each line ends with the local moment (μB).
Positions (direct):
Sm (0.2500, 0.6139, 0.9494)  0.13
Sm (0.2500, 0.3402, 0.7481)  0.11
C (0.7500, 0.6390, 0.4426)  -0.01
Sm (0.2500, 0.0853, 0.9218)  0.07
Sm (0.7500, 0.5317, 0.6169)  0.17
Bi (0.2500, 0.9513, 0.3122)  -0.01
Sm (0.2500, 0.4683, 0.3831)  0.17
C (0.2500, 0.8474, 0.9359)  -0.01
Bi (0.7500, 0.0487, 0.6878)  -0.01
Sm (0.7500, 0.2002, 0.4854)  0.15
Sm (0.7500, 0.9147, 0.0782)  0.07
C (0.7500, 0.1526, 0.0641)  -0.01
C (0.7500, 0.5153, 0.8226)  -0.01
Sm (0.2500, 0.2087, 0.1961)  0.14
Sm (0.7500, 0.6598, 0.2519)  0.11
Sm (0.7500, 0.3861, 0.0506)  0.13
Sm (0.7500, 0.7913, 0.8039)  0.14
Sm (0.2500, 0.7998, 0.5146)  0.15
C (0.2500, 0.3610, 0.5574)  -0.01
C (0.2500, 0.4847, 0.1774)  -0.01

* symmetry: P2_1/m (11)
* total DFT energy (no corrections): -6.23 eV/atom
* crystal system: monoclinic
* ΔE_f: -247 meV/atom

---

[7]
A plane-wave DFT calculation with PBE-GGA was carried out for a relaxed structure of SmBiC.

a = 4.3820 Å, b = 4.2137 Å, c = 9.2868 Å
α = 103.09°, β = 103.65°, γ = 90.00°
Positions (direct):
Bi (0.6907, 0.1905, 0.3815)
Bi (0.3093, 0.8095, 0.6185)
C (0.3566, 0.5000, 0.0000)
Sm (0.1122, 0.6123, 0.2245)
C (0.6434, 0.5000, 0.0000)
Sm (0.8878, 0.3877, 0.7755)

* symmetry: Immm (71)
* total DFT energy (no corrections): -5.96 eV/atom
* crystal system: orthorhombic
* ΔE_f: -14 meV/atom

---

[8]
A plane-wave DFT calculation with PBE-GGA was carried out for a relaxed structure of Sm4Bi2C.

a = 3.6110 Å, b = 9.0547 Å, c = 6.4803 Å
α = 110.93°, β = 90.00°, γ = 90.00°
Positions (direct):
Bi (0.5000, 0.4125, 0.7421)
Sm (0.0000, 0.3819, 0.2259)
Bi (0.5000, 0.7303, 0.4008)
Sm (0.0000, 0.7609, 0.9170)
Sm (0.5000, 0.0717, 0.3242)
C (0.0000, 0.0714, 0.0714)
Sm (0.5000, 0.0711, 0.8187)

* symmetry: P2/m (10)
* total DFT energy (no corrections): -5.52 eV/atom
* crystal system: monoclinic
* ΔE_f: -397 meV/atom

---

[9]
A plane-wave DFT calculation with PBE-GGA was carried out for a relaxed structure of Sm8Bi5C.

a = 8.1778 Å, b = 8.1778 Å, c = 8.1778 Å
α = 110.96°, β = 106.52°, γ = 110.96°
Positions (direct):
Bi (0.7652, 0.6431, 0.6392)
Sm (0.6413, 0.3953, 0.8829)
Sm (0.5501, 0.8245, 0.8502)
Sm (0.1498, 0.6999, 0.9744)
Sm (0.1171, 0.7584, 0.5124)
Sm (0.7540, 0.2416, 0.3587)
Bi (0.5000, 0.0000, 0.5000)
Sm (0.0256, 0.1755, 0.7256)
Bi (0.3608, 0.1260, 0.0039)
C (0.2500, 0.5000, 0.7500)
Bi (0.9961, 0.3569, 0.1221)
Sm (0.4876, 0.6047, 0.2460)
Bi (0.8779, 0.8740, 0.2348)
Sm (0.2744, 0.3001, 0.4499)

* symmetry: I-4 (82)
* total DFT energy (no corrections): -5.36 eV/atom
* crystal system: tetragonal
* ΔE_f: -614 meV/atom

---

[10]
A plane-wave DFT calculation with PBE-GGA was carried out for a relaxed structure of Sm3BiC.

a = 5.0039 Å, b = 4.9531 Å, c = 11.4944 Å
α = 90.00°, β = 102.50°, γ = 90.00°
Positions (direct):
Sm (0.3209, 0.7500, 0.1393)
Sm (0.0673, 0.2500, 0.6356)
Sm (0.6791, 0.2500, 0.8607)
C (0.4266, 0.7500, 0.3519)
C (0.5734, 0.2500, 0.6481)
Bi (0.8306, 0.2500, 0.1586)
Bi (0.1694, 0.7500, 0.8414)
Sm (0.4447, 0.2500, 0.3885)
Sm (0.5553, 0.7500, 0.6115)
Sm (0.9327, 0.7500, 0.3644)

* symmetry: P2_1/m (11)
* total DFT energy (no corrections): -5.91 eV/atom
* crystal system: monoclinic
* ΔE_f: -460 meV/atom

---

[11]
A plane-wave DFT calculation with PBE-GGA was carried out for a relaxed structure of Sm4Bi2C.

a = 4.9823 Å, b = 4.9823 Å, c = 8.9116 Å
α = 106.23°, β = 106.23°, γ = 90.00°
Positions (direct):
Sm (0.8456, 0.8456, 0.6912)
Sm (0.1544, 0.1544, 0.3088)
Bi (0.6433, 0.6433, 0.2866)
Sm (0.0000, 0.5000, 0.0000)
Bi (0.3567, 0.3567, 0.7134)
Sm (0.5000, 0.0000, 0.0000)
C (0.0000, 0.0000, 0.0000)

* symmetry: I4/mmm (139)
* total DFT energy (no corrections): -5.74 eV/atom
* crystal system: tetragonal
* ΔE_f: -613 meV/atom

---

[12]
A plane-wave DFT calculation with PBE-GGA was carried out for a relaxed structure of Sm3Bi2C.

a = 6.7599 Å, b = 7.2128 Å, c = 7.2128 Å
α = 102.97°, β = 90.00°, γ = 90.00°
Positions (direct):
Sm (0.5000, 0.1504, 0.8496)
C (0.7500, 0.9218, 0.9218)
Sm (0.5000, 0.8496, 0.1504)
Bi (0.2500, 0.8272, 0.5388)
Sm (0.2500, 0.3364, 0.3364)
Sm (0.0000, 0.1504, 0.8496)
C (0.2500, 0.0782, 0.0782)
Sm (0.0000, 0.8496, 0.1504)
Bi (0.7500, 0.1728, 0.4612)
Bi (0.7500, 0.4612, 0.1728)
Bi (0.2500, 0.5388, 0.8272)
Sm (0.7500, 0.6636, 0.6636)

* symmetry: Cmcm (63)
* total DFT energy (no corrections): -5.69 eV/atom
* crystal system: orthorhombic
* ΔE_f: -495 meV/atom

---

[13]
A plane-wave DFT calculation with PBE-GGA was carried out for a relaxed structure of Sm2BiC.

a = 3.7539 Å, b = 3.7539 Å, c = 8.3675 Å
α = 77.04°, β = 77.04°, γ = 60.00°
Positions (direct):
Sm (0.7235, 0.7235, 0.8295)
Bi (0.5000, 0.5000, 0.5000)
Sm (0.2765, 0.2765, 0.1705)
C (0.0000, 0.0000, 0.0000)

* symmetry: R-3m (166)
* total DFT energy (no corrections): -6.12 eV/atom
* crystal system: trigonal
* ΔE_f: -485 meV/atom

---

[14]
A plane-wave DFT calculation with PBE-GGA was carried out for a relaxed structure of Sm4BiC2.

a = 3.9449 Å, b = 6.6871 Å, c = 13.2088 Å
α = 90.00°, β = 90.00°, γ = 107.16°
Positions (direct):
Sm (0.5000, 0.0000, 0.0000)
Sm (0.5000, 0.0000, 0.5000)
C (0.8622, 0.7244, 0.9422)
C (0.8622, 0.7244, 0.5578)
Bi (0.6073, 0.2146, 0.7500)
Sm (0.0857, 0.1714, 0.2500)
C (0.1378, 0.2756, 0.4422)
Sm (0.7615, 0.5230, 0.1017)
Sm (0.7615, 0.5230, 0.3983)
Sm (0.2385, 0.4770, 0.8983)
Sm (0.2385, 0.4770, 0.6017)
C (0.1378, 0.2756, 0.0578)
Bi (0.3927, 0.7854, 0.2500)
Sm (0.9143, 0.8286, 0.7500)

* symmetry: Cmcm (63)
* total DFT energy (no corrections): -6.23 eV/atom
* crystal system: orthorhombic
* ΔE_f: -346 meV/atom

---

[15]
A plane-wave DFT calculation with PBE-GGA was carried out for a relaxed structure of Sm7Bi4C.

a = 5.1053 Å, b = 9.7144 Å, c = 8.5830 Å
α = 79.96°, β = 72.70°, γ = 74.77°
Positions (direct):
Sm (0.0516, 0.7663, 0.1305)
Bi (0.2826, 0.3443, 0.0905)
Bi (0.4113, 0.7787, 0.3986)
Sm (0.3638, 0.5366, 0.7358)
Sm (0.9484, 0.2337, 0.8695)
Sm (0.6362, 0.4634, 0.2642)
C (0.0000, 0.0000, 0.0000)
Sm (0.5000, 0.0000, 0.0000)
Sm (0.2356, 0.1276, 0.4012)
Sm (0.7644, 0.8724, 0.5988)
Bi (0.5887, 0.2213, 0.6014)
Bi (0.7174, 0.6557, 0.9095)

* symmetry: C2/m (12)
* total DFT energy (no corrections): -5.22 eV/atom
* crystal system: monoclinic
* ΔE_f: -407 meV/atom

---

[16]
A plane-wave DFT calculation with PBE-GGA was carried out for a relaxed structure of Sm2BiC.

a = 5.0650 Å, b = 7.0341 Å, c = 10.8488 Å
α = 90.00°, β = 90.00°, γ = 90.00°
Positions (direct):
C (0.7500, 0.8798, 0.4081)
Bi (0.2500, 0.3181, 0.3782)
Bi (0.7500, 0.6819, 0.6218)
C (0.2500, 0.6202, 0.9081)
Sm (0.7500, 0.5668, 0.2790)
C (0.2500, 0.1202, 0.5919)
Bi (0.2500, 0.8181, 0.1218)
Sm (0.7500, 0.1581, 0.5514)
Sm (0.7500, 0.6581, 0.9486)
Sm (0.2500, 0.8419, 0.4486)
Sm (0.2500, 0.4332, 0.7210)
Sm (0.2500, 0.9332, 0.7790)
Bi (0.7500, 0.1819, 0.8782)
Sm (0.7500, 0.0668, 0.2210)
C (0.7500, 0.3798, 0.0919)
Sm (0.2500, 0.3419, 0.0514)

* symmetry: Pnma (62)
* total DFT energy (no corrections): -6.02 eV/atom
* crystal system: orthorhombic
* ΔE_f: -389 meV/atom

---

[17]
A plane-wave DFT calculation with PBE-GGA was carried out for a relaxed structure of Sm8Bi2C3.

a = 6.5767 Å, b = 7.4407 Å, c = 8.6951 Å
α = 115.33°, β = 104.36°, γ = 90.00°
Positions (direct):
Sm (0.3876, 0.3300, 0.1794)
Sm (0.1043, 0.9076, 0.8153)
Sm (0.6124, 0.1506, 0.8206)
Sm (0.6124, 0.6700, 0.8206)
Sm (0.8957, 0.0924, 0.1847)
Sm (0.3876, 0.8494, 0.1794)
Bi (0.3233, 0.2536, 0.5071)
C (0.5000, 0.0000, 0.0000)
Sm (0.0764, 0.4045, 0.8089)
Bi (0.6767, 0.7464, 0.4929)
Sm (0.9236, 0.5955, 0.1911)
C (0.0000, 0.7482, 0.0000)
C (0.0000, 0.2518, 0.0000)

* symmetry: C2/m (12)
* total DFT energy (no corrections): -5.97 eV/atom
* crystal system: monoclinic
* ΔE_f: -338 meV/atom

---

[18]
A plane-wave DFT calculation with PBE-GGA was carried out for a relaxed structure of Sm12Bi6C.

a = 8.7128 Å, b = 8.7128 Å, c = 8.7128 Å
α = 99.33°, β = 99.33°, γ = 99.33°
Positions (direct):
Bi (0.3522, 0.6987, 0.8838)
Bi (0.1162, 0.6478, 0.3013)
Bi (0.6987, 0.8838, 0.3522)
Sm (0.7039, 0.9383, 0.0007)
Sm (0.4210, 0.5450, 0.1957)
Sm (0.2961, 0.0617, 0.9993)
Sm (0.0617, 0.9993, 0.2961)
Sm (0.9993, 0.2961, 0.0617)
Bi (0.3013, 0.1162, 0.6478)
Sm (0.4550, 0.8043, 0.5790)
C (0.0000, 0.0000, 0.0000)
Sm (0.5450, 0.1957, 0.4210)
Bi (0.8838, 0.3522, 0.6987)
Sm (0.8043, 0.5790, 0.4550)
Bi (0.6478, 0.3013, 0.1162)
Sm (0.5790, 0.4550, 0.8043)
Sm (0.0007, 0.7039, 0.9383)
Sm (0.1957, 0.4210, 0.5450)
Sm (0.9383, 0.0007, 0.7039)

* symmetry: R-3 (148)
* total DFT energy (no corrections): -5.18 eV/atom
* crystal system: trigonal
* ΔE_f: -489 meV/atom

---

[19]
A plane-wave DFT calculation with PBE-GGA was carried out for a relaxed structure of Sm12Bi5C2.

a = 7.8142 Å, b = 9.5693 Å, c = 9.5614 Å
α = 105.60°, β = 90.00°, γ = 114.10°
Positions (direct):
Sm (0.0010, 0.0021, 0.8338)
Sm (0.5972, 0.7174, 0.4396)
C (0.7381, 0.0000, 0.0000)
Sm (0.8798, 0.2826, 0.5604)
Sm (0.1202, 0.7174, 0.4396)
Sm (0.6097, 0.7038, 0.9232)
Bi (0.0000, 0.0000, 0.5000)
Bi (0.3125, 0.6250, 0.1561)
Sm (0.9059, 0.2962, 0.0768)
Sm (0.3903, 0.2962, 0.0768)
Bi (0.6875, 0.3750, 0.8439)
Sm (0.4028, 0.2826, 0.5604)
Sm (0.0941, 0.7038, 0.9232)
Sm (0.4959, 0.9919, 0.8130)
C (0.2619, 0.0000, 0.0000)
Bi (0.7067, 0.4135, 0.3495)
Sm (0.9990, 0.9979, 0.1662)
Bi (0.2933, 0.5865, 0.6505)
Sm (0.5041, 0.0081, 0.1870)

* symmetry: C2/m (12)
* total DFT energy (no corrections): -5.39 eV/atom
* crystal system: monoclinic
* ΔE_f: -422 meV/atom

---

[20]
A plane-wave DFT calculation with PBE-GGA was carried out for a relaxed structure of Sm5Bi2C2.

a = 7.1590 Å, b = 6.9391 Å, c = 11.3612 Å
α = 107.78°, β = 108.36°, γ = 90.00°
Positions (direct):
C (0.0000, 0.9924, 0.0000)
Sm (0.3819, 0.3434, 0.7221)
Sm (0.6181, 0.6213, 0.2779)
Bi (0.4030, 0.8819, 0.7802)
Sm (0.8745, 0.1316, 0.5000)
Sm (0.2464, 0.2358, 0.9930)
C (0.5000, 0.4924, 0.0000)
Sm (0.7536, 0.2428, 0.0070)
Sm (0.8402, 0.8434, 0.7221)
C (0.8288, 0.7850, 0.5000)
Sm (0.1598, 0.1213, 0.2779)
Bi (0.5970, 0.1017, 0.2198)
Bi (0.8772, 0.3819, 0.7802)
Sm (0.2466, 0.7358, 0.9930)
Bi (0.1228, 0.6017, 0.2198)
C (0.1712, 0.2850, 0.5000)
Sm (0.7534, 0.7428, 0.0070)
Sm (0.1255, 0.6316, 0.5000)

* symmetry: Ima2 (46)
* total DFT energy (no corrections): -5.94 eV/atom
* crystal system: orthorhombic
* ΔE_f: -402 meV/atom

---

[21]
A plane-wave DFT calculation with PBE-GGA was carried out for a relaxed structure of Tb2Sm2Bi2C.

a = 4.8905 Å, b = 4.8905 Å, c = 8.8790 Å
α = 105.99°, β = 105.99°, γ = 90.00°
Positions (direct):
Sm (0.8446, 0.8446, 0.6892)
Bi (0.3583, 0.3583, 0.7165)
Tb (0.0000, 0.5000, 0.0000)
Tb (0.5000, 0.0000, 0.0000)
C (0.0000, 0.0000, 0.0000)
Bi (0.6417, 0.6417, 0.2835)
Sm (0.1554, 0.1554, 0.3108)

* symmetry: I4/mmm (139)
* total DFT energy (no corrections): -5.76 eV/atom
* crystal system: tetragonal
* ΔE_f: -665 meV/atom

---

| no. | spin magnetization (μB per formula unit) |
| --- | --- |
| 1 | 0.00 |
| 2 | 0.19 |
| 3 | 0.00 |
| 4 | 0.00 |
| 5 | 0.00 |
| 6 | 1.89 |
| 7 | 0.00 |
| 8 | 0.20 |
| 9 | 0.00 |
| 10 | 0.00 |
| 11 | 0.00 |
| 12 | 0.00 |
| 13 | 0.00 |
| 14 | 0.00 |
| 15 | 0.00 |
| 16 | 0.00 |
| 17 | 0.00 |
| 18 | 0.51 |
| 19 | 0.72 |
| 20 | 0.00 |
| 21 | 0.00 |